Entry 1:
{
  "formula": "BeCd3Br",
  "functional": "GGA-PBEsol",
  "state": "relaxed",
  "spacegroup": "Pm-3m",
  "e_tot_ev_per_atom": -0.77,
  "magmom_total_mub_per_cell": 0.00,
  "cell": [[5.478, 0.000, 0.000], [0.000, 5.478, 0.000], [0.000, 0.000, 5.478]],
  "species": ["Be", "Cd", "Cd", "Cd", "Br"],
  "frac_coords": [[0.000, 0.000, 0.000], [0.000, 0.500, 0.500], [0.500, 0.000, 0.500], [0.500, 0.500, 0.000], [0.500, 0.500, 0.500]]
}

---

Entry 2:
{
  "formula": "BeCdBr4",
  "functional": "GGA-PBEsol",
  "state": "relaxed",
  "spacegroup": "F-43m",
  "e_tot_ev_per_atom": -1.24,
  "magmom_total_mub_per_cell": 1.73,
  "cell": [[0.000, 4.344, 4.344], [4.344, 0.000, 4.344], [4.344, 4.344, 0.000]],
  "species": ["Be", "Cd", "Br", "Br", "Br", "Br"],
  "frac_coords": [[0.000, 0.000, 0.000], [0.750, 0.750, 0.750], [0.375, 0.375, 0.375], [0.375, 0.375, 0.874], [0.375, 0.874, 0.375], [0.874, 0.375, 0.375]]
}